# 1
# CsCdIrBr6

Crystalline CsCdIrBr6 at its relaxed geometry (GGA-PBE, the Alexandria database).

* uncorrected energy: -3.10 eV/atom
* space-group type: P312, No. 149
* energy relative to the elements, uncorrected: -0.80 eV/atom

a = 7.000 Å, b = 7.000 Å, c = 8.132 Å
α = 90.00°, β = 90.00°, γ = 60.00°
Atoms (fractional coordinates):
Cs (0.000, 0.000, 0.000)
Cd (0.667, 0.667, 0.500)
Ir (0.333, 0.333, 0.500)
Br (0.034, 0.348, 0.321)
Br (0.348, 0.034, 0.679)
Br (0.618, 0.348, 0.679)
Br (0.034, 0.618, 0.679)
Br (0.348, 0.618, 0.321)
Br (0.618, 0.034, 0.321)



# 2
# Cs2CdIrBr6

Crystalline Cs2CdIrBr6 at its relaxed geometry (GGA-PBE, the Alexandria database).

* uncorrected energy: -3.06 eV/atom
* space-group type: I4/mmm, No. 139
* energy relative to the elements, uncorrected: -0.91 eV/atom

a = 7.756 Å, b = 7.756 Å, c = 7.725 Å
α = 59.87°, β = 59.87°, γ = 90.00°
Atoms (fractional coordinates):
Cs (0.750, 0.250, 0.500)
Cs (0.250, 0.750, 0.500)
Ir (0.000, 0.000, 0.000)
Br (0.236, 0.236, 0.528)
Br (0.764, 0.764, 0.472)
Br (0.234, 0.234, 0.000)
Br (0.766, 0.766, 0.000)
Br (0.766, 0.234, 0.000)
Br (0.234, 0.766, 0.000)
Cd (0.500, 0.500, 0.000)



# 3
# Cs2KCdBr4

Crystalline Cs2KCdBr4 at its relaxed geometry (GGA-PBE, the Alexandria database).

* uncorrected energy: -2.55 eV/atom
* space-group type: Fddd, No. 70
* energy relative to the elements, uncorrected: -1.25 eV/atom

a = 6.748 Å, b = 8.971 Å, c = 13.965 Å
α = 84.79°, β = 76.02°, γ = 67.91°
Last column: magnetic moment on the atom in μB.
Atoms (fractional coordinates):
Cs (0.187, 0.000, 0.627)  0.00
Cs (0.813, 0.000, 0.373)  0.00
Cs (0.563, 0.500, 0.873)  0.00
Cs (0.937, 0.500, 0.127)  0.00
K (0.750, 0.500, 0.500)  0.00
K (0.000, 0.000, 0.000)  0.00
Cd (0.250, 0.500, 0.500)  0.17
Cd (0.500, 0.000, 0.000)  0.17
Br (0.335, 0.748, 0.107)  0.05
Br (0.190, 0.252, 0.893)  0.05
Br (0.917, 0.748, 0.893)  0.05
Br (0.558, 0.252, 0.107)  0.05
Br (0.415, 0.752, 0.393)  0.05
Br (0.560, 0.248, 0.607)  0.05
Br (0.833, 0.752, 0.607)  0.05
Br (0.192, 0.248, 0.393)  0.05



# 4
# Cs3KCd2Br8

Crystalline Cs3KCd2Br8 at its relaxed geometry (GGA-PBE, the Alexandria database).

* uncorrected energy: -2.74 eV/atom
* space-group type: P-3m1, No. 164
* energy relative to the elements, uncorrected: -1.39 eV/atom

a = 8.331 Å, b = 8.331 Å, c = 10.410 Å
α = 90.00°, β = 90.00°, γ = 120.00°
Atoms (fractional coordinates):
Cs (0.333, 0.667, 0.612)
Cs (0.667, 0.333, 0.388)
Cs (0.000, 0.000, 0.000)
K (0.000, 0.000, 0.500)
Cd (0.333, 0.667, 0.194)
Cd (0.667, 0.333, 0.806)
Br (0.333, 0.667, 0.948)
Br (0.667, 0.333, 0.052)
Br (0.168, 0.832, 0.304)
Br (0.832, 0.168, 0.696)
Br (0.168, 0.336, 0.304)
Br (0.832, 0.664, 0.696)
Br (0.664, 0.832, 0.304)
Br (0.336, 0.168, 0.696)



# 5
# Cs2KCd2Br6

Crystalline Cs2KCd2Br6 at its relaxed geometry (GGA-PBE, the Alexandria database).

* uncorrected energy: -2.58 eV/atom
* space-group type: C2/m, No. 12
* energy relative to the elements, uncorrected: -1.25 eV/atom

a = 8.408 Å, b = 7.918 Å, c = 9.165 Å
α = 107.62°, β = 90.00°, γ = 122.07°
Last column: magnetic moment on the atom in μB.
Atoms (fractional coordinates):
Cs (0.692, 0.384, 0.163)  0.00
Cs (0.308, 0.616, 0.837)  0.00
K (0.500, 0.000, 0.500)  0.00
Cd (0.967, 0.934, 0.638)  0.12
Cd (0.033, 0.066, 0.362)  0.12
Br (0.762, 0.525, 0.586)  0.05
Br (0.195, 0.877, 0.198)  0.05
Br (0.318, 0.123, 0.802)  0.05
Br (0.805, 0.123, 0.802)  0.05
Br (0.682, 0.877, 0.198)  0.05
Br (0.238, 0.475, 0.414)  0.05



# 6
# Cs2KCdBr

Crystalline Cs2KCdBr at its relaxed geometry (GGA-PBE, the Alexandria database).

* uncorrected energy: -1.67 eV/atom
* space-group type: P4/mmm, No. 123
* energy relative to the elements, uncorrected: -0.60 eV/atom

a = 7.076 Å, b = 7.076 Å, c = 6.376 Å
α = 90.00°, β = 90.00°, γ = 90.00°
Atoms (fractional coordinates):
Cs (0.000, 0.500, 0.000)
Cs (0.500, 0.000, 0.000)
K (0.000, 0.000, 0.500)
Br (0.000, 0.000, 0.000)
Cd (0.500, 0.500, 0.500)



# 7
# CsKCd2Br

Crystalline CsKCd2Br at its relaxed geometry (GGA-PBE, the Alexandria database).

* uncorrected energy: -1.22 eV/atom
* space-group type: P4/mmm, No. 123
* energy relative to the elements, uncorrected: -0.13 eV/atom

a = 6.303 Å, b = 10.074 Å, c = 6.303 Å
α = 90.00°, β = 90.00°, γ = 90.00°
Atoms (fractional coordinates):
Cs (0.000, 0.500, 0.000)
K (0.000, 0.000, 0.000)
Br (0.500, 0.500, 0.500)
Cd (0.000, 0.000, 0.500)
Cd (0.500, 0.000, 0.000)



# 8
# CsLaCdBr6

Crystalline CsLaCdBr6 at its relaxed geometry (GGA-PBE, the Alexandria database).

* uncorrected energy: -3.44 eV/atom
* space-group type: P-31c, No. 163
* energy relative to the elements, uncorrected: -1.58 eV/atom

a = 7.536 Å, b = 7.536 Å, c = 16.058 Å
α = 90.00°, β = 90.00°, γ = 120.00°
Atoms (fractional coordinates):
Cs (0.000, 0.000, 0.000)
Cs (0.000, 0.000, 0.500)
La (0.333, 0.667, 0.250)
La (0.667, 0.333, 0.750)
Cd (0.667, 0.333, 0.250)
Cd (0.333, 0.667, 0.750)
Br (0.627, 0.614, 0.145)
Br (0.987, 0.373, 0.145)
Br (0.373, 0.987, 0.645)
Br (0.013, 0.627, 0.855)
Br (0.386, 0.373, 0.355)
Br (0.987, 0.614, 0.355)
Br (0.614, 0.987, 0.855)
Br (0.627, 0.013, 0.355)
Br (0.013, 0.386, 0.645)
Br (0.386, 0.013, 0.145)
Br (0.614, 0.627, 0.645)
Br (0.373, 0.386, 0.855)